Entry 1:
Below is crystalline Dy2Er2N3 at its relaxed geometry, with properties calculated at the PBE level.

Structure (POSCAR):
```
Dy2Er2N3
1.0
-1.1985 -2.9425 1.3833
5.5167 -2.4067 -0.3397
0.8525 3.8350 4.5558
Dy Er N
2 2 3
Direct
0.8672 0.6345 0.7343
0.1328 0.3655 0.2657
0.6257 0.8872 0.2515
0.3743 0.1128 0.7485
0.0000 0.0000 0.0000
0.7476 0.2471 0.4953
0.2524 0.7529 0.5047
```

Calculated values
Its space group is C2/m. As for the density of states at the Fermi level: 2.1 states/eV/f.u. Its total energy is -7.6627 eV per atom. Its raw formation energy is -1.476 eV/atom. The value obtained for the total magnetization is 0.000 μB per atom.



Entry 2:
Below is crystalline Dy3ErN3 at its relaxed geometry, with properties calculated at the PBE level.

Structure (POSCAR):
```
Dy3ErN3
1.0
-4.8260 1.2247 -0.2113
-1.9725 -7.3910 2.2112
1.1853 5.6219 5.5132
Dy Er N
6 2 6
Direct
0.2500 0.6696 0.8346
0.2500 0.1651 0.3304
0.2500 0.1651 0.8352
0.7500 0.3304 0.1654
0.7500 0.8349 0.6696
0.7500 0.8349 0.1648
0.7500 0.3332 0.6668
0.2500 0.6668 0.3332
0.7500 0.6670 0.8332
0.7500 0.1664 0.3330
0.7500 0.1664 0.8340
0.2500 0.3330 0.1668
0.2500 0.8336 0.6670
0.2500 0.8336 0.1660
```

Calculated values
Its space group is P6_3/mmc. As for the density of states at the Fermi level: 2.8 states/eV/f.u. Its total energy is -7.5116 eV per atom. Its raw formation energy is -1.319 eV/atom. The value obtained for the total magnetization is 0.000 μB per atom.



Entry 3:
Below is crystalline Dy2ErNbN4 at its relaxed geometry, with properties calculated at the PBE level.

Structure (POSCAR):
```
Dy2ErNbN4
1.0
-2.7932 0.5649 1.7523
-2.2875 -4.9289 -2.0573
2.8645 -1.1408 4.9336
Dy Er Nb N
2 1 1 4
Direct
0.5000 0.0000 0.5000
0.0000 0.5000 0.5000
0.5000 0.5000 0.0000
0.0000 0.0000 0.0000
0.5000 0.2350 0.2327
0.5000 0.7650 0.7673
0.0000 0.2409 0.7637
0.0000 0.7591 0.2363
```

Calculated values
Its space group is P2/m. As for the density of states at the Fermi level: 2.2 states/eV/f.u. Its total energy is -8.6834 eV per atom. Its raw formation energy is -1.541 eV/atom. The value obtained for the total magnetization is 0.000 μB per atom.



Among the records above, which one has the lowest raw formation energy?
Dy2ErNbN4